Here is PrEr3Tm2 after structural relaxation from the Alexandria database. Energies are from PBE.

The value obtained for the formation energy from the elements is -1 meV per atom. The energy relative to the lowest polymorph listed for this composition is 0.000 eV per atom. Its magnetization is 0.0 μB per cell.

Unit cell a=7.108 b=7.116 c=8.774 alpha=78.24 beta=78.28 gamma=60.18
Space group P-1 (No. 2)
Unique sites:
Pr1 0.250 0.250 0.001 (multiplicity 2)
Er1 0.139 0.139 0.664 (multiplicity 2)
Er2 0.250 0.750 0.000 (multiplicity 2)
Er3 0.360 0.860 0.337 (multiplicity 2)
Tm1 0.140 0.639 0.663 (multiplicity 2)
Tm2 0.361 0.362 0.336 (multiplicity 2)

***

Here is PmSmHo2 after structural relaxation from the Alexandria database. Energies are from PBE.

The value obtained for the formation energy from the elements is 21 meV per atom. The energy relative to the lowest polymorph listed for this composition is 0.007 eV per atom. Its magnetization is 0.0 μB per cell.

Unit cell a=5.078 b=5.078 c=5.034 alpha=90.00 beta=90.00 gamma=90.00
Space group P4/mmm (No. 123)
Unique sites:
Pm1 0.000 0.000 0.000 (multiplicity 1)
Sm1 0.500 0.500 0.000 (multiplicity 1)
Ho1 0.000 0.500 0.500 (multiplicity 2)

***

Here is CeEu6 after structural relaxation from the Alexandria database. Energies are from PBE.

The value obtained for the formation energy from the elements is 1096 meV per atom. Its magnetization is 96.0 μB per cell.

Unit cell a=8.636 b=8.636 c=8.636 alpha=90.00 beta=90.00 gamma=90.00
Space group Im-3m (No. 229)
Unique sites:
Ce1 0.000 0.000 0.000 (multiplicity 2)
Eu1 0.000 0.250 0.500 (multiplicity 12)

***

Here is Nb3MoBr after structural relaxation from the Alexandria database. Energies are from PBE.

The uncorrected formation energy comes out at 6.98 eV/f.u. The energy relative to the lowest polymorph listed for this composition is 0.025 eV per atom. Its magnetization is 1.5 μB per cell.

Unit cell a=4.698 b=4.698 c=4.698 alpha=90.00 beta=90.00 gamma=90.00
Space group Pm-3m (No. 221)
Unique sites:
Nb1 0.000 0.000 0.500 (multiplicity 3)
Mo1 0.500 0.500 0.500 (multiplicity 1)
Br1 0.000 0.000 0.000 (multiplicity 1)

***

Here is AlHgBi after structural relaxation from the Alexandria database. Energies are from PBE.

The value obtained for the formation energy from the elements is 185 meV per atom. The energy relative to the lowest polymorph listed for this composition is 0.088 eV per atom. Its magnetization is 0.0 μB per cell.

Unit cell a=3.411 b=3.411 c=13.038 alpha=90.00 beta=90.00 gamma=90.00
Space group I4mm (No. 107)
Unique sites:
Al1 0.000 0.000 0.000 (multiplicity 2)
Hg1 0.000 0.000 0.633 (multiplicity 2)
Bi1 0.000 0.000 0.336 (multiplicity 2)

***

Here is Pa2AlZn after structural relaxation from the Alexandria database. Energies are from PBE.

The value obtained for the formation energy from the elements is -83 meV per atom. The energy relative to the lowest polymorph listed for this composition is 0.000 eV per atom. Its magnetization is 0.0 μB per cell.

Unit cell a=3.050 b=3.050 c=9.008 alpha=90.00 beta=90.00 gamma=90.00
Space group P4/mmm (No. 123)
Unique sites:
Pa1 0.000 0.000 0.248 (multiplicity 2)
Al1 0.500 0.500 0.500 (multiplicity 1)
Zn1 0.500 0.500 0.000 (multiplicity 1)

***

In order of appearance, calculated density = 8.701, 7.997, 5.423, 7.279, 9.554, 10.987 g/cm3.
In order of appearance, DOS(E_F) = 15.6, 6.3, 44.4, 6.1, 3.1, 6.3 states/eV/cell.